No. 1
Entry from the Alexandria database: a geometry-optimized BaZnCuIr structure (GGA-PBE).

Unit cell a=6.1183 b=6.1183 c=6.1183 alpha=42.32 beta=42.32 gamma=42.32
Element x y z (fractional)
Ba  0.0000  0.0000  0.0000
Zn  0.5104  0.5104  0.5104
Cu  0.8181  0.8181  0.8181
Ir  0.1882  0.1882  0.1882

Output
DFT formation energy = -0.7 eV per formula unit

=====

No. 2
Entry from the Alexandria database: a geometry-optimized Er2CoNi structure (GGA-PBE).

Unit cell a=3.3099 b=3.3099 c=6.6893 alpha=90.00 beta=90.00 gamma=90.00
Element x y z (fractional)
Er  0.0000  0.0000  0.2459
Er  0.0000  0.0000  0.7541
Co  0.5000  0.5000  0.0000
Ni  0.5000  0.5000  0.5000

Output
DFT formation energy = -1.3 eV per formula unit

=====

No. 3
Entry from the Alexandria database: a geometry-optimized Fe2ReTe structure (GGA-PBE).

Unit cell a=4.3669 b=4.3669 c=4.3669 alpha=60.00 beta=60.00 gamma=60.00
Element x y z (fractional)
Fe  0.0000  0.0000  0.0000
Fe  0.2500  0.2500  0.2500
Re  0.7500  0.7500  0.7500
Te  0.5000  0.5000  0.5000

Output
ΔE_f (raw) = 2.079 eV per formula unit

=====

No. 4
Entry from the Alexandria database: a geometry-optimized CaAl3Zn structure (GGA-PBE).

Unit cell a=4.8808 b=4.8808 c=4.8808 alpha=90.00 beta=90.00 gamma=90.00
Element x y z (fractional)
Ca  0.0000  0.0000  0.0000
Al  0.0000  0.5000  0.5000
Al  0.5000  0.0000  0.5000
Al  0.5000  0.5000  0.0000
Zn  0.5000  0.5000  0.5000

Output
DFT formation energy = 1.1 eV per formula unit

=====

No. 5
Entry from the Alexandria database: a geometry-optimized Ta2TcAs structure (GGA-PBE).

Unit cell a=3.0682 b=4.1795 c=5.2394 alpha=90.00 beta=90.00 gamma=90.00
Element x y z (fractional)
Ta  0.0000  0.0000  0.0000
Ta  0.5000  0.5000  0.2778
Tc  0.0000  0.0000  0.5083
As  0.5000  0.5000  0.7698

Output
DFT formation energy = -0.2 eV per formula unit

=====

No. 6
Entry from the Alexandria database: a geometry-optimized ZrSc4 structure (GGA-PBE).

Unit cell a=5.1373 b=5.1373 c=5.1373 alpha=90.00 beta=90.00 gamma=90.00
Element x y z (fractional)
Zr  0.0000  0.0000  0.0000
Sc  0.0000  0.0000  0.5000
Sc  0.0000  0.5000  0.0000
Sc  0.5000  0.0000  0.0000
Sc  0.5000  0.5000  0.5000

Output
DFT formation energy = 3.3 eV per formula unit

=====

No. 7
Entry from the Alexandria database: a geometry-optimized Er4NiPb2 structure (GGA-PBE).

Unit cell a=6.4621 b=6.6794 c=9.1422 alpha=90.00 beta=105.22 gamma=90.00
Element x y z (fractional)
Er  0.1868  0.2500  0.0934
Er  0.2603  0.7500  0.3790
Er  0.2943  0.5005  0.7510
Er  0.2943  0.9995  0.7510
Er  0.7057  0.0005  0.2490
Er  0.7057  0.4995  0.2490
Er  0.7397  0.2500  0.6210
Er  0.8132  0.7500  0.9066
Ni  0.4587  0.2500  0.3616
Ni  0.5413  0.7500  0.6384
Pb  0.1111  0.2500  0.4447
Pb  0.3198  0.7500  0.0494
Pb  0.6802  0.2500  0.9506
Pb  0.8889  0.7500  0.5553

Output
DFT formation energy = -2.5 eV per formula unit

=====

No. 8
Entry from the Alexandria database: a geometry-optimized AcTb2PrSe4 structure (GGA-PBE).

Unit cell a=7.2126 b=4.1429 c=7.5654 alpha=90.00 beta=108.42 gamma=90.00
Element x y z (fractional)
Ac  0.0000  0.0000  0.0000
Tb  0.0000  0.5000  0.5000
Tb  0.5000  0.0000  0.5000
Pr  0.5000  0.5000  0.0000
Se  0.2472  0.0000  0.7297
Se  0.2625  0.5000  0.2741
Se  0.7375  0.5000  0.7259
Se  0.7528  0.0000  0.2703

Output
ΔE_f (raw) = -14.458 eV per formula unit

=====

No. 9
Entry from the Alexandria database: a geometry-optimized NaAcPd structure (GGA-PBE).

Unit cell a=5.1104 b=5.1104 c=5.1104 alpha=60.00 beta=60.00 gamma=60.00
Element x y z (fractional)
Na  0.0000  0.0000  0.0000
Ac  0.5000  0.5000  0.5000
Pd  0.2500  0.2500  0.2500

Output
DFT formation energy = -0.9 eV per formula unit

=====

No. 10
Entry from the Alexandria database: a geometry-optimized GeTe2Cl structure (GGA-PBE).

Unit cell a=10.8563 b=10.8563 c=10.8563 alpha=17.26 beta=17.26 gamma=17.26
Element x y z (fractional)
Ge  0.0000  0.0000  0.0000
Te  0.0886  0.0886  0.0886
Te  0.9114  0.9114  0.9114
Cl  0.5000  0.5000  0.5000

Output
ΔE_f (raw) = 0.827 eV per formula unit

=====

No. 11
Entry from the Alexandria database: a geometry-optimized AcTb7Y5 structure (GGA-PBE).

Unit cell a=8.8426 b=8.8426 c=8.8426 alpha=135.45 beta=99.20 gamma=97.32
Element x y z (fractional)
Ac  0.0000  0.0000  0.0000
Tb  0.2308  0.5220  0.7088
Tb  0.3198  0.3198  0.0000
Tb  0.3674  0.0194  0.3480
Tb  0.6015  0.6015  0.0000
Tb  0.6715  0.0194  0.6520
Tb  0.8132  0.5220  0.2912
Tb  0.8158  0.3158  0.5000
Y  0.0055  0.0143  0.4730
Y  0.0055  0.5326  0.9912
Y  0.2372  0.7372  0.5000
Y  0.5413  0.0143  0.0088
Y  0.5413  0.5326  0.5270

Output
DFT formation energy = 3.3 eV per formula unit

=====

No. 12
Entry from the Alexandria database: a geometry-optimized TbTmNp2Sb4 structure (GGA-PBE).

Unit cell a=7.5718 b=4.3747 c=7.6250 alpha=90.00 beta=109.35 gamma=90.00
Element x y z (fractional)
Tb  0.0000  0.0000  0.0000
Tm  0.5000  0.5000  0.0000
Np  0.0000  0.5000  0.5000
Np  0.5000  0.0000  0.5000
Sb  0.2518  0.5000  0.2489
Sb  0.2531  0.0000  0.7527
Sb  0.7469  0.0000  0.2473
Sb  0.7482  0.5000  0.7511

Output
ΔE_f (raw) = -5.152 eV per formula unit

=====

No. 13
Entry from the Alexandria database: a geometry-optimized Cs2SnTeCl6 structure (GGA-PBE).

Unit cell a=8.5028 b=8.5028 c=8.5028 alpha=126.72 beta=126.72 gamma=78.70
Element x y z (fractional)
Cs  0.2500  0.7500  0.5000
Cs  0.7500  0.2500  0.5000
Sn  0.0000  0.0000  0.0000
Te  0.5000  0.5000  0.0000
Cl  0.2078  0.2078  0.0000
Cl  0.2569  0.2569  0.5137
Cl  0.2569  0.7431  0.0000
Cl  0.7431  0.2569  0.0000
Cl  0.7431  0.7431  0.4863
Cl  0.7922  0.7922  0.0000

Output
ΔE_f (raw) = -12.086 eV per formula unit

=====

No. 14
Entry from the Alexandria database: a geometry-optimized Y2TaPb structure (GGA-PBE).

Unit cell a=10.7904 b=10.7904 c=10.7904 alpha=18.10 beta=18.10 gamma=18.10
Element x y z (fractional)
Y  0.0000  0.0000  0.0000
Y  0.2366  0.2366  0.2366
Ta  0.7441  0.7441  0.7441
Pb  0.4851  0.4851  0.4851

Output
DFT formation energy = 1.1 eV per formula unit

=====

No. 15
Entry from the Alexandria database: a geometry-optimized Nb2CuTc structure (GGA-PBE).

Unit cell a=5.7013 b=5.7013 c=5.7013 alpha=103.22 beta=103.22 gamma=122.86
Element x y z (fractional)
Nb  0.1149  0.6250  0.9899
Nb  0.3750  0.3649  0.4899
Nb  0.6351  0.1250  0.0101
Nb  0.8750  0.8851  0.5101
Cu  0.2500  0.7500  0.5000
Cu  0.5000  0.5000  0.0000
Tc  0.0000  0.0000  0.0000
Tc  0.7500  0.2500  0.5000

Output
DFT formation energy = 1.9 eV per formula unit

=====

No. 16
Entry from the Alexandria database: a geometry-optimized Ba2Ga2Pd structure (GGA-PBE).

Unit cell a=6.6626 b=6.6626 c=12.0234 alpha=114.92 beta=114.92 gamma=38.99
Element x y z (fractional)
Ba  0.0102  0.0102  0.1593
Ba  0.1878  0.1878  0.6127
Ba  0.8122  0.8122  0.3873
Ba  0.9898  0.9898  0.8407
Ga  0.2993  0.2993  0.9434
Ga  0.4909  0.4909  0.6223
Ga  0.5091  0.5091  0.3777
Ga  0.7007  0.7007  0.0566
Pd  0.3025  0.3025  0.1654
Pd  0.6975  0.6975  0.8346

Output
DFT formation energy = -2.5 eV per formula unit

=====

No. 17
Entry from the Alexandria database: a geometry-optimized NdTm2SnC structure (GGA-PBE).

Unit cell a=4.8304 b=4.8304 c=5.0978 alpha=90.00 beta=90.00 gamma=90.00
Element x y z (fractional)
Nd  0.0000  0.0000  0.0000
Tm  0.0000  0.5000  0.5000
Tm  0.5000  0.0000  0.5000
Sn  0.5000  0.5000  0.0000
C  0.0000  0.0000  0.5000

Output
DFT formation energy = -2.9 eV per formula unit

=====

No. 18
Entry from the Alexandria database: a geometry-optimized Pu6TcGe structure (GGA-PBE).

Unit cell a=4.3963 b=4.3963 c=9.2074 alpha=90.00 beta=90.00 gamma=90.00
Element x y z (fractional)
Pu  0.0000  0.0000  0.0000
Pu  0.0000  0.0000  0.5000
Pu  0.0000  0.5000  0.2482
Pu  0.0000  0.5000  0.7518
Pu  0.5000  0.0000  0.2482
Pu  0.5000  0.0000  0.7518
Tc  0.5000  0.5000  0.5000
Ge  0.5000  0.5000  0.0000

Output
DFT formation energy = 0.3 eV per formula unit

=====

No. 19
Entry from the Alexandria database: a geometry-optimized Mn2TlOs structure (GGA-PBE).

Unit cell a=5.7787 b=5.7787 c=5.7787 alpha=102.94 beta=102.94 gamma=123.51
Element x y z (fractional)
Mn  0.0841  0.6250  0.9591
Mn  0.3750  0.3341  0.4591
Mn  0.6659  0.1250  0.0409
Mn  0.8750  0.9159  0.5409
Tl  0.2500  0.7500  0.5000
Tl  0.5000  0.5000  0.0000
Os  0.0000  0.0000  0.0000
Os  0.7500  0.2500  0.5000

Output
DFT formation energy = 3.5 eV per formula unit

=====

No. 20
Entry from the Alexandria database: a geometry-optimized Rb2AcRuO6 structure (GGA-PBE).

Unit cell a=6.2114 b=6.2114 c=6.2114 alpha=60.00 beta=60.00 gamma=60.00
Element x y z (fractional)
Rb  0.2500  0.2500  0.2500
Rb  0.7500  0.7500  0.7500
Ac  0.0000  0.0000  0.0000
Ru  0.5000  0.5000  0.5000
O  0.2818  0.2818  0.7182
O  0.2818  0.7182  0.2818
O  0.2818  0.7182  0.7182
O  0.7182  0.2818  0.2818
O  0.7182  0.2818  0.7182
O  0.7182  0.7182  0.2818

Output
ΔE_f (raw) = -16.663 eV per formula unit

=====

no.,total DFT energy (no corrections) (eV per formula unit)
1,-16.9
2,-23.3
3,-30.4
4,-13.4
5,-38.9
6,-30.5
7,-33.9
8,-46.5
9,-11.5
10,-11.9
11,-65.6
12,-56.6
13,-32.0
14,-27.3
15,-32.7
16,-17.6
17,-29.8
18,-100.7
19,-28.4
20,-61.7